Material: Y4InSe
Method: DFT, GGA-PBE
State: optimized geometry

Lattice parameters (Å, degrees): 6.2950 6.2950 6.2950 60.00 60.00 60.00
Closest atoms and distances in Å follow each position.
Positions (direct):
Se  0.0000  0.0000  0.0000  12 Y 3.69, 4 In 3.85
In  0.7500  0.7500  0.7500  12 Y 3.69, 4 Se 3.85
Y  0.3761  0.3761  0.8717  6 Y 3.12-3.17
Y  0.3761  0.8717  0.3761  6 Y 3.12-3.17
Y  0.3761  0.3761  0.3761  6 Y 3.12-3.17
Y  0.8717  0.3761  0.3761  6 Y 3.12-3.17

Output
* symmetry: F-43m
* spin magnetization: 0.0 μB per formula unit
* formation energy (no corrections): 11.7 kJ/mol of atoms



Material: Fe3BrN
Method: DFT, GGA-PBE
State: optimized geometry

Lattice parameters (Å, degrees): 3.9847 3.9847 3.9847 90.00 90.00 90.00
Closest atoms and distances in Å follow each position.
Positions (direct):
Fe  0.0000  0.5000  0.0000  2 N 1.99
Fe  0.5000  0.0000  0.0000  2 N 1.99
Fe  0.0000  0.0000  0.5000  2 N 1.99
N  0.0000  0.0000  0.0000  6 Fe 1.99
Br  0.5000  0.5000  0.5000  12 Fe 2.82

Output
* symmetry: Pm-3m
* spin magnetization: 7.7 μB per formula unit
* ΔE to the lowest computed polymorph: 0.0 meV per atom
* formation energy (no corrections): 39.6 kJ/mol of atoms



Material: MgUTi2
Method: DFT, GGA-PBE
State: optimized geometry

Lattice parameters (Å, degrees): 3.3775 3.3775 6.7454 90.00 90.00 90.00
Closest atoms and distances in Å follow each position.
Positions (direct):
Mg  0.5000  0.5000  0.5000  8 Ti 3.08, 2 U 3.37, 4 Mg 3.38
Ti  0.0000  0.0000  0.2109  4 U 2.78, 1 Ti 2.85, 4 Mg 3.08
Ti  0.0000  0.0000  0.7891  4 U 2.78, 1 Ti 2.85, 4 Mg 3.08
U  0.5000  0.5000  0.0000  8 Ti 2.78

Output
* symmetry: P4/mmm
* spin magnetization: 0.8 μB per formula unit
* E_form: 0.247 eV per atom



Material: Tl2ZnCdCl6
Method: DFT, GGA-PBE
State: optimized geometry

Lattice parameters (Å, degrees): 7.2556 7.2545 7.1415 59.51 59.55 59.96
Closest atoms and distances in Å follow each position.
Positions (direct):
Cl  0.5051  0.6113  0.8060  1 Zn 2.50, 1 Cd 2.66
Cl  0.5533  0.1292  0.2978  1 Zn 2.49, 1 Cd 2.66
Cl  0.0796  0.5033  0.8045  1 Zn 2.49, 1 Cd 2.66
Cl  0.6127  0.0755  0.8084  1 Zn 2.49, 1 Cd 2.66
Cl  0.0197  0.5574  0.2939  1 Zn 2.49, 1 Cd 2.66
Cl  0.1274  0.0211  0.2963  1 Zn 2.49, 1 Cd 2.66
Tl  0.0697  0.0681  0.7931  6 Cl 3.24-3.55
Tl  0.5620  0.5636  0.3118  6 Cl 3.24-3.54
Cd  0.8161  0.8161  0.5517  6 Cl 2.66
Zn  0.3161  0.3161  0.0517  6 Cl 2.49-2.50

Output
* symmetry: P-1
* spin magnetization: 0.0 μB per formula unit
* formation energy (no corrections): -99.3 kJ/mol of atoms



Material: Ba3NdPd2O6
Method: DFT, GGA-PBE
State: optimized geometry

Lattice parameters (Å, degrees): 6.2298 6.2298 6.9265 90.00 90.00 120.00
Closest atoms and distances in Å follow each position.
Positions (direct):
O  0.1703  0.8297  0.3020  1 Pd 2.09, 1 Nd 2.29
O  0.8297  0.1703  0.6980  1 Pd 2.09, 1 Nd 2.29
O  0.6595  0.8297  0.3020  1 Pd 2.09, 1 Nd 2.29
O  0.1703  0.3405  0.3020  1 Pd 2.09, 1 Nd 2.29
O  0.8297  0.6595  0.6980  1 Pd 2.09, 1 Nd 2.29
O  0.3405  0.1703  0.6980  1 Pd 2.09, 1 Nd 2.29
Pd  0.6667  0.3333  0.8608  3 O 2.09
Pd  0.3333  0.6667  0.1392  3 O 2.09
Nd  0.0000  0.0000  0.5000  6 O 2.29
Ba  0.6667  0.3333  0.3635  9 O 2.91-3.14
Ba  0.0000  0.0000  0.0000  6 O 2.78
Ba  0.3333  0.6667  0.6365  9 O 2.91-3.14

Output
* symmetry: P-3m1
* spin magnetization: 0.0 μB per formula unit
* formation energy (no corrections): -168.5 kJ/mol of atoms



Material: AcPm2DyTl2
Method: DFT, GGA-PBE
State: optimized geometry

Lattice parameters (Å, degrees): 4.9036 8.5614 9.5621 90.00 90.00 90.00
Closest atoms and distances in Å follow each position.
Positions (direct):
Dy  0.5000  0.6485  0.3111  4 Tl 3.12-3.27
Dy  0.5000  0.1485  0.6889  4 Tl 3.12-3.27
Tl  0.5000  0.7731  0.6257  2 Dy 3.19-3.27, 3 Pm 3.21-3.49, 2 Ac 3.51
Tl  0.5000  0.2731  0.3743  2 Dy 3.19-3.27, 3 Pm 3.21-3.49, 2 Ac 3.51
Tl  0.0000  0.7400  0.1264  2 Pm 3.08-3.22, 2 Dy 3.12
Tl  0.0000  0.2400  0.8736  2 Pm 3.08-3.22, 2 Dy 3.12
Ac  0.0000  0.4829  0.5839  5 Tl 3.46-3.64, 2 Dy 3.85
Ac  0.0000  0.9829  0.4161  5 Tl 3.46-3.64, 2 Dy 3.85
Pm  0.0000  0.8675  0.8249  4 Tl 3.08-3.22
Pm  0.5000  0.0335  0.0787  5 Tl 3.49-3.60, 4 Pm 3.73-3.88, 1 Dy 3.86
Pm  0.0000  0.3675  0.1751  4 Tl 3.08-3.22
Pm  0.5000  0.5335  0.9213  5 Tl 3.49-3.60, 4 Pm 3.73-3.88, 1 Dy 3.86

Output
* symmetry: Pmc2_1
* spin magnetization: 1.9 μB per formula unit
* E_form: -0.249 eV per atom